# ScCd2Si

An optimized crystal structure of ScCd2Si (GGA-PBE, the Alexandria database).

Cell and atoms, written as POSCAR:
```
ScCd2Si
1.0
4.117 0.000 0.000
0.000 4.117 0.000
0.000 0.000 4.647
Sc Cd Si
1 2 1
direct
0.000 0.000 0.000
0.000 0.500 0.500
0.500 0.000 0.500
0.500 0.500 0.000
```

Computed properties:
DFT total energy	-3.630	eV/atom
energy relative to the elements, uncorrected	-234	meV/atom
magnetic moment	0.0000	μB per atom